DFT (PBE) results for a geometry-optimized Sr2MnAsSe5 structure.

abc: 4.285 9.194 12.595
angles: 90.00 90.00 103.48
Each line ends with the local moment (μB).
Atoms (fractional coordinates):
Sr: 0.863 0.727 0.819  0.01
Sr: 0.115 0.229 0.681  0.01
Sr: 0.137 0.273 0.319  0.01
Sr: 0.885 0.771 0.181  0.01
Mn: 0.786 0.573 0.542  3.96
Mn: 0.214 0.427 0.042  3.96
As: 0.558 0.115 0.938  0.00
As: 0.442 0.885 0.438  0.00
Se: 0.351 0.702 0.003  -0.01
Se: 0.681 0.361 0.861  0.01
Se: 0.491 0.983 0.764  -0.04
Se: 0.286 0.573 0.662  0.00
Se: 0.930 0.860 0.554  -0.08
Se: 0.649 0.298 0.503  -0.01
Se: 0.319 0.639 0.361  0.01
Se: 0.509 0.017 0.264  -0.04
Se: 0.714 0.427 0.162  0.00
Se: 0.070 0.140 0.054  -0.08

Values from the calculation:
calculated volume: 482.6 Å³ per cell

=====

DFT (PBE) results for a geometry-optimized TaMnAsSe2 structure.

abc: 4.980 4.980 5.134
angles: 90.00 90.00 90.00
Each line ends with the local moment (μB).
Atoms (fractional coordinates):
As: 0.000 0.000 0.500  -0.11
Mn: 0.500 0.500 0.500  4.56
Se: 0.000 0.500 0.000  0.00
Se: 0.500 0.000 0.000  0.00
Ta: 0.000 0.000 0.000  0.15

Values from the calculation:
calculated volume: 127.4 Å³ per cell

=====

DFT (PBE) results for a geometry-optimized TaMnAsSe2 structure.

abc: 4.644 4.644 4.479
angles: 90.00 90.00 90.00
Atoms (fractional coordinates):
As: 0.000 0.000 0.500
Mn: 0.000 0.000 0.000
Se: 0.000 0.500 0.000
Se: 0.500 0.000 0.000
Ta: 0.500 0.500 0.500

Values from the calculation:
calculated volume: 96.6 Å³ per cell

=====

DFT (PBE) results for a geometry-optimized Mn2TcAsSe structure.

abc: 4.261 5.051 4.261
angles: 90.00 90.00 90.00
Each line ends with the local moment (μB).
Atoms (fractional coordinates):
As: 0.000 0.500 0.000  -0.05
Mn: 0.000 0.000 0.500  0.43
Mn: 0.500 0.000 0.000  0.40
Tc: 0.500 0.500 0.500  2.57
Se: 0.000 0.000 0.000  0.00

Values from the calculation:
calculated volume: 91.7 Å³ per cell

=====

DFT (PBE) results for a geometry-optimized MnTeAsSe2 structure.

abc: 4.667 4.667 4.821
angles: 90.00 90.00 90.00
Each line ends with the local moment (μB).
Atoms (fractional coordinates):
Mn: 0.000 0.000 0.000  2.37
As: 0.000 0.000 0.500  -0.06
Te: 0.500 0.500 0.500  -0.13
Se: 0.000 0.500 0.000  0.05
Se: 0.500 0.000 0.000  0.05

Values from the calculation:
calculated volume: 105.0 Å³ per cell

=====

DFT (PBE) results for a geometry-optimized Mn2Tl2AsSe6 structure.

abc: 6.503 6.503 7.974
angles: 97.38 97.38 119.93
Each line ends with the local moment (μB).
Atoms (fractional coordinates):
Mn: 0.331 0.669 0.500  3.43
Mn: 0.669 0.331 0.500  3.43
Tl: 0.840 0.160 0.000  0.02
Tl: 0.160 0.840 0.000  0.02
As: 0.000 0.000 0.500  0.06
Se: 0.704 0.704 0.683  -0.07
Se: 0.059 0.407 0.686  -0.07
Se: 0.296 0.296 0.317  -0.07
Se: 0.407 0.059 0.686  -0.07
Se: 0.941 0.593 0.314  -0.07
Se: 0.593 0.941 0.314  -0.07

Values from the calculation:
calculated volume: 282.5 Å³ per cell

=====

DFT (PBE) results for a geometry-optimized MnTlAs2Se structure.

abc: 4.626 4.626 5.436
angles: 90.00 90.00 90.00
Each line ends with the local moment (μB).
Atoms (fractional coordinates):
Tl: 0.500 0.500 0.500  0.00
Mn: 0.000 0.000 0.000  2.38
As: 0.000 0.500 0.000  -0.19
As: 0.500 0.000 0.000  -0.19
Se: 0.000 0.000 0.500  -0.10

Values from the calculation:
calculated volume: 116.3 Å³ per cell

=====

DFT (PBE) results for a geometry-optimized MnTlAsSe2 structure.

abc: 4.991 4.991 4.537
angles: 90.00 90.00 90.00
Each line ends with the local moment (μB).
Atoms (fractional coordinates):
Tl: 0.500 0.500 0.500  0.00
Mn: 0.000 0.000 0.000  -0.18
As: 0.000 0.000 0.500  0.03
Se: 0.000 0.500 0.000  0.02
Se: 0.500 0.000 0.000  0.02

Values from the calculation:
calculated volume: 113.0 Å³ per cell

=====

DFT (PBE) results for a geometry-optimized MnVAsSe2 structure.

abc: 4.746 4.746 4.400
angles: 90.00 90.00 90.00
Each line ends with the local moment (μB).
Atoms (fractional coordinates):
As: 0.000 0.000 0.500  -0.01
Mn: 0.000 0.000 0.000  -0.14
Se: 0.000 0.500 0.000  0.03
Se: 0.500 0.000 0.000  0.03
V: 0.500 0.500 0.500  0.10

Values from the calculation:
calculated volume: 99.1 Å³ per cell

=====

DFT (PBE) results for a geometry-optimized MnVAsSe2 structure.

abc: 4.815 4.815 4.825
angles: 90.00 90.00 90.00
Each line ends with the local moment (μB).
Atoms (fractional coordinates):
As: 0.000 0.000 0.500  -0.16
Mn: 0.500 0.500 0.500  4.47
Se: 0.000 0.500 0.000  -0.05
Se: 0.500 0.000 0.000  -0.05
V: 0.000 0.000 0.000  0.85

Values from the calculation:
calculated volume: 111.9 Å³ per cell

=====

DFT (PBE) results for a geometry-optimized MnAsWSe2 structure.

abc: 4.893 4.893 4.929
angles: 90.00 90.00 90.00
Each line ends with the local moment (μB).
Atoms (fractional coordinates):
As: 0.000 0.000 0.500  -0.11
Mn: 0.500 0.500 0.500  4.51
Se: 0.000 0.500 0.000  -0.02
Se: 0.500 0.000 0.000  -0.02
W: 0.000 0.000 0.000  0.17

Values from the calculation:
calculated volume: 118.0 Å³ per cell

=====

DFT (PBE) results for a geometry-optimized MnAs2WSe structure.

abc: 4.566 4.566 4.838
angles: 90.00 90.00 90.00
Each line ends with the local moment (μB).
Atoms (fractional coordinates):
As: 0.000 0.500 0.000  -0.16
As: 0.500 0.000 0.000  -0.16
Mn: 0.000 0.000 0.000  2.48
Se: 0.000 0.000 0.500  -0.12
W: 0.500 0.500 0.500  2.60

Values from the calculation:
calculated volume: 100.9 Å³ per cell

=====

DFT (PBE) results for a geometry-optimized MnAs2WSe structure.

abc: 4.882 4.882 5.038
angles: 90.00 90.00 90.00
Each line ends with the local moment (μB).
Atoms (fractional coordinates):
As: 0.000 0.500 0.000  -0.05
As: 0.500 0.000 0.000  -0.05
Mn: 0.500 0.500 0.500  4.50
Se: 0.000 0.000 0.500  0.00
W: 0.000 0.000 0.000  0.25

Values from the calculation:
calculated volume: 120.1 Å³ per cell

=====

DFT (PBE) results for a geometry-optimized YMnAsSe2 structure.

abc: 5.398 5.398 5.486
angles: 90.00 90.00 90.00
Each line ends with the local moment (μB).
Atoms (fractional coordinates):
Y: 0.000 0.000 0.000  -0.01
As: 0.000 0.000 0.500  -0.30
Mn: 0.500 0.500 0.500  4.56
Se: 0.000 0.500 0.000  -0.10
Se: 0.500 0.000 0.000  -0.10

Values from the calculation:
calculated volume: 159.9 Å³ per cell

=====

DFT (PBE) results for a geometry-optimized YMnAsSe2 structure.

abc: 4.879 4.879 4.725
angles: 90.00 90.00 90.00
Each line ends with the local moment (μB).
Atoms (fractional coordinates):
Y: 0.500 0.500 0.500  0.08
As: 0.000 0.000 0.500  -0.09
Mn: 0.000 0.000 0.000  3.19
Se: 0.000 0.500 0.000  -0.02
Se: 0.500 0.000 0.000  -0.02

Values from the calculation:
calculated volume: 112.5 Å³ per cell

=====

DFT (PBE) results for a geometry-optimized ZrMnAs2Se structure.

abc: 4.630 4.630 4.855
angles: 90.00 90.00 90.00
Each line ends with the local moment (μB).
Atoms (fractional coordinates):
As: 0.000 0.500 0.000  -0.06
As: 0.500 0.000 0.000  -0.06
Mn: 0.000 0.000 0.000  2.75
Se: 0.000 0.000 0.500  -0.03
Zr: 0.500 0.500 0.500  0.52

Values from the calculation:
calculated volume: 104.1 Å³ per cell

=====

DFT (PBE) results for a geometry-optimized ZrMnAsSe2 structure.

abc: 5.172 5.172 5.251
angles: 90.00 90.00 90.00
Each line ends with the local moment (μB).
Atoms (fractional coordinates):
As: 0.000 0.000 0.500  -0.06
Mn: 0.500 0.500 0.500  4.55
Se: 0.000 0.500 0.000  0.02
Se: 0.500 0.000 0.000  0.02
Zr: 0.000 0.000 0.000  0.04

Values from the calculation:
calculated volume: 140.5 Å³ per cell

=====

DFT (PBE) results for a geometry-optimized ZrMnAs2Se structure.

abc: 5.184 5.184 5.107
angles: 90.00 90.00 90.00
Each line ends with the local moment (μB).
Atoms (fractional coordinates):
As: 0.000 0.500 0.000  0.04
As: 0.500 0.000 0.000  0.04
Mn: 0.500 0.500 0.500  -0.39
Se: 0.000 0.000 0.500  0.02
Zr: 0.000 0.000 0.000  0.00

Values from the calculation:
calculated volume: 137.3 Å³ per cell

=====

DFT (PBE) results for a geometry-optimized ZrMnAsSe2 structure.

abc: 4.740 4.740 4.719
angles: 90.00 90.00 90.00
Each line ends with the local moment (μB).
Atoms (fractional coordinates):
As: 0.000 0.000 0.500  -0.07
Mn: 0.000 0.000 0.000  2.97
Se: 0.000 0.500 0.000  -0.02
Se: 0.500 0.000 0.000  -0.02
Zr: 0.500 0.500 0.500  0.35

Values from the calculation:
calculated volume: 106.0 Å³ per cell

=====

DFT (PBE) results for a geometry-optimized MnSiAs3 structure.

abc: 4.689 4.689 4.689
angles: 90.00 90.00 90.00
Each line ends with the local moment (μB).
Atoms (fractional coordinates):
As: 0.000 0.500 0.000  -0.09
As: 0.000 0.000 0.500  -0.07
As: 0.500 0.000 0.000  -0.05
Mn: 0.500 0.500 0.500  0.37
Si: 0.000 0.000 0.000  0.00

Values from the calculation:
calculated volume: 103.1 Å³ per cell

=====

no.,spin magnetization (μB/cell),E_form (uncorrected) (eV per atom)
1,8.35,-0.981
2,5.12,0.283
3,0.00,0.819
4,3.63,1.442
5,2.32,0.286
6,7.00,-0.366
7,1.67,0.168
8,0.04,0.192
9,0.03,0.755
10,5.49,0.279
11,5.00,0.621
12,5.33,1.045
13,5.18,0.706
14,4.12,0.166
15,3.35,-0.496
16,3.43,0.114
17,5.06,0.072
18,0.25,0.880
19,3.47,0.030
20,0.01,1.230